## Ac8Pr3Er (PBE)

Data for an optimized crystal structure of Ac8Pr3Er.

Values from the calculation:
Density (Mg/m³): 7.1

```
data_Ac8Pr3Er
_chemical_formula_sum 'Ac16 Pr6 Er2'
_cell_length_a 9.353
_cell_length_b 9.353
_cell_length_c 12.875
_cell_angle_alpha 90.00
_cell_angle_beta 90.00
_cell_angle_gamma 90.00
_space_group_name_H-M_alt 'I -4 2 m'
_space_group_IT_number 121
_space_group_name_Hall 'I -4 2'
loop_
_atom_site_label
_atom_site_fract_x
_atom_site_fract_y
_atom_site_fract_z
Ac1 0.131 0.131 0.256
Ac2 0.247 0.247 0.509
Pr1 0.000 0.000 0.000
Pr2 0.000 0.500 0.250
Er1 0.000 0.000 0.500
```



## Ac12Pr3Er (PBE)

Data for an optimized crystal structure of Ac12Pr3Er.

Values from the calculation:
Density (Mg/m³): 8.1

```
data_Ac12Pr3Er
_chemical_formula_sum 'Ac12 Pr3 Er1'
_cell_length_a 5.533
_cell_length_b 5.533
_cell_length_c 22.096
_cell_angle_alpha 90.00
_cell_angle_beta 90.00
_cell_angle_gamma 90.00
_space_group_name_H-M_alt 'P 4/m m m'
_space_group_IT_number 123
_space_group_name_Hall '-P 4 2'
loop_
_atom_site_label
_atom_site_fract_x
_atom_site_fract_y
_atom_site_fract_z
Ac1 0.000 0.000 0.000
Ac2 0.000 0.000 0.249
Ac3 0.000 0.000 0.500
Ac4 0.000 0.500 0.123
Ac5 0.000 0.500 0.374
Pr1 0.500 0.500 0.249
Pr2 0.500 0.500 0.500
Er1 0.500 0.500 0.000
```



## Ac12Pr5Er (PBE)

Data for an optimized crystal structure of Ac12Pr5Er.

Values from the calculation:
Density (Mg/m³): 7.9

```
data_Ac12Pr5Er
_chemical_formula_sum 'Ac24 Pr10 Er2'
_cell_length_a 6.786
_cell_length_b 11.747
_cell_length_c 19.009
_cell_angle_alpha 90.00
_cell_angle_beta 96.83
_cell_angle_gamma 90.00
_space_group_name_H-M_alt 'C 1 2/m 1'
_space_group_IT_number 12
loop_
_space_group_symop_operation_xyz
'x,y,z'
'-x,-y,-z'
'-x,y,-z'
'x,-y,z'
'x+1/2,y+1/2,z'
'-x+1/2,-y+1/2,-z'
'-x+1/2,y+1/2,-z'
'x+1/2,-y+1/2,z'
loop_
_atom_site_label
_atom_site_fract_x
_atom_site_fract_y
_atom_site_fract_z
Ac1 0.112 0.165 0.338
Ac2 0.116 0.500 0.338
Ac3 0.221 0.333 0.164
Ac4 0.222 0.000 0.164
Pr1 0.000 0.167 0.000
Pr2 0.000 0.333 0.500
Pr3 0.000 0.500 0.000
Er1 0.000 0.000 0.500
```



## Ac2Pr5Er (PBE)

Data for an optimized crystal structure of Ac2Pr5Er.

Values from the calculation:
Polymorph energy (0 for the lowest one) (meV/atom): 0
Density (Mg/m³): 7.4

```
data_Ac2Pr5Er
_chemical_formula_sum 'Ac4 Pr10 Er2'
_cell_length_a 7.493
_cell_length_b 15.037
_cell_length_c 5.305
_cell_angle_alpha 90.00
_cell_angle_beta 90.00
_cell_angle_gamma 90.00
_space_group_name_H-M_alt 'P b a m'
_space_group_IT_number 55
loop_
_space_group_symop_operation_xyz
'x,y,z'
'-x,-y,-z'
'-x,-y,z'
'x,y,-z'
'x+1/2,-y+1/2,-z'
'-x+1/2,y+1/2,z'
'-x+1/2,y+1/2,-z'
'x+1/2,-y+1/2,z'
loop_
_atom_site_label
_atom_site_fract_x
_atom_site_fract_y
_atom_site_fract_z
Ac1 0.248 0.124 0.000
Pr1 0.000 0.500 0.500
Pr2 0.002 0.752 0.500
Pr3 0.250 0.376 0.000
Er1 0.000 0.000 0.500
```



| no. | magnetization (μB per formula unit) | electronic total energy (eV/f.u.) | V (A^3/atom) |
| --- | --- | --- | --- |
| 1 | 0.0 | -44.84 | 46.93 |
| 2 | 0.0 | -67.81 | 42.27 |
| 3 | 0.0 | -77.29 | 41.79 |
| 4 | 0.0 | -36.48 | 37.36 |